SmSc2H | PBE | optimized geometry

a = 3.390 Å, b = 3.390 Å, c = 8.363 Å
α = 78.31°, β = 78.31°, γ = 60.00°
Sites, in units of the cell vectors:
Sc 0.283 0.283 0.152
Sc 0.717 0.717 0.848
H 0.000 0.000 0.000
Sm 0.500 0.500 0.500

## Properties
- SG = R-3m (166)

Sc2SnH | PBE | optimized geometry

a = 6.489 Å, b = 6.489 Å, c = 5.746 Å
α = 55.62°, β = 55.62°, γ = 90.00°
Sites, in units of the cell vectors:
Sc 0.521 0.125 0.250
Sc 0.229 0.625 0.250
Sc 0.375 0.479 0.750
Sc 0.875 0.771 0.750
H 0.500 0.500 0.000
H 0.250 0.750 0.500
Sn 0.000 0.000 0.000
Sn 0.750 0.250 0.500

## Properties
- SG = I-42d (122)

Sc4SnH | PBE | optimized geometry

a = 6.391 Å, b = 5.698 Å, c = 8.043 Å
α = 107.91°, β = 110.84°, γ = 96.74°
Sites, in units of the cell vectors:
Sc 0.913 0.296 0.078
Sc 0.666 0.783 0.078
Sc 0.299 0.686 0.617
Sc 0.701 0.314 0.383
Sc 0.183 0.070 0.383
Sc 0.334 0.217 0.922
Sc 0.817 0.930 0.617
Sc 0.087 0.704 0.922
Sn 0.387 0.637 0.274
Sn 0.613 0.363 0.726
H 0.124 0.874 0.747
H 0.876 0.126 0.253

## Properties
- SG = C2/c (15)

Sc2SnH | PBE | optimized geometry

a = 8.696 Å, b = 8.696 Å, c = 8.696 Å
α = 22.41°, β = 22.41°, γ = 22.41°
Sites, in units of the cell vectors:
Sc 0.928 0.928 0.928
Sc 0.072 0.072 0.072
H 0.000 0.000 0.000
Sn 0.500 0.500 0.500

## Properties
- SG = R-3m (166)

Sc5Sn5H2 | PBE | optimized geometry

a = 4.058 Å, b = 5.718 Å, c = 10.816 Å
α = 90.53°, β = 90.00°, γ = 110.78°
Sites, in units of the cell vectors:
Sc 0.077 0.154 0.312
Sc 0.634 0.269 0.808
Sc 0.366 0.731 0.192
Sc 0.923 0.846 0.688
Sc 0.000 0.000 0.000
Sn 0.500 0.000 0.500
Sn 0.666 0.332 0.109
Sn 0.786 0.571 0.390
Sn 0.214 0.429 0.610
Sn 0.334 0.668 0.891
H 0.061 0.122 0.821
H 0.939 0.878 0.179

## Properties
- SG = C2/m (12)

ScSnH | PBE | optimized geometry

a = 3.383 Å, b = 5.987 Å, c = 6.038 Å
α = 60.56°, β = 73.73°, γ = 73.59°
Sites, in units of the cell vectors:
Sc 0.712 0.323 0.253
Sc 0.288 0.677 0.747
Sn 0.977 0.781 0.264
Sn 0.023 0.219 0.736
H 0.289 0.348 0.074
H 0.711 0.652 0.926

## Properties
- SG = C2/m (12)

Sc2SnH2 | PBE | optimized geometry

a = 3.726 Å, b = 3.726 Å, c = 5.671 Å
α = 70.82°, β = 70.82°, γ = 90.00°
Sites, in units of the cell vectors:
Sc 0.342 0.342 0.317
Sc 0.658 0.658 0.683
H 0.750 0.250 0.500
H 0.250 0.750 0.500
Sn 0.000 0.000 0.000

## Properties
- SG = I4/mmm (139)

ScSnH | PBE | optimized geometry

a = 9.785 Å, b = 3.399 Å, c = 5.981 Å
α = 90.00°, β = 90.00°, γ = 90.00°
Sites, in units of the cell vectors:
Sc 0.994 0.250 0.729
Sc 0.506 0.750 0.229
Sc 0.006 0.750 0.271
Sc 0.494 0.250 0.771
H 0.957 0.250 0.409
H 0.543 0.750 0.909
H 0.043 0.750 0.591
H 0.457 0.250 0.091
Sn 0.265 0.250 0.428
Sn 0.235 0.750 0.928
Sn 0.735 0.750 0.572
Sn 0.765 0.250 0.072

## Properties
- SG = Pnma (62)

Sc5Sn2H2 | PBE | optimized geometry

a = 4.107 Å, b = 5.751 Å, c = 7.339 Å
α = 85.64°, β = 90.00°, γ = 110.92°
Sites, in units of the cell vectors:
Sc 0.277 0.555 0.144
Sc 0.723 0.445 0.856
Sc 0.141 0.281 0.568
Sc 0.859 0.719 0.432
Sc 0.000 0.000 0.000
Sn 0.430 0.860 0.725
Sn 0.570 0.140 0.275
H 0.172 0.345 0.873
H 0.828 0.655 0.127

## Properties
- SG = C2/m (12)

ScSnH | PBE | optimized geometry

a = 6.049 Å, b = 7.943 Å, c = 7.943 Å
α = 82.16°, β = 67.62°, γ = 67.62°
Sites, in units of the cell vectors:
Sc 0.242 0.750 0.250
Sc 0.242 0.250 0.750
Sc 0.593 0.668 0.668
Sc 0.930 0.332 0.332
Sc 0.930 0.832 0.832
Sc 0.593 0.168 0.168
H 0.594 0.500 0.500
H 0.594 0.000 0.000
H 0.257 0.842 0.842
H 0.941 0.158 0.158
H 0.941 0.658 0.658
H 0.257 0.342 0.342
Sn 0.255 0.989 0.489
Sn 0.733 0.011 0.511
Sn 0.733 0.511 0.011
Sn 0.255 0.489 0.989
Sn 0.766 0.250 0.750
Sn 0.766 0.750 0.250

## Properties
- SG = Amm2 (38)

Sc3SnH | PBE | optimized geometry

a = 3.274 Å, b = 6.096 Å, c = 9.763 Å
α = 99.01°, β = 90.00°, γ = 90.00°
Sites, in units of the cell vectors:
Sc 0.750 0.602 0.366
Sc 0.250 0.398 0.634
Sc 0.750 0.225 0.893
Sc 0.250 0.917 0.631
Sc 0.250 0.775 0.107
Sc 0.750 0.083 0.369
Sn 0.250 0.288 0.156
Sn 0.750 0.712 0.844
H 0.250 0.830 0.329
H 0.750 0.170 0.671

## Properties
- SG = P2_1/m (11)

Sc2SnH | PBE | optimized geometry

a = 4.793 Å, b = 4.793 Å, c = 4.793 Å
α = 60.00°, β = 60.00°, γ = 60.00°
Sites, in units of the cell vectors:
Sc 0.250 0.250 0.250
Sc 0.750 0.750 0.750
H 0.000 0.000 0.000
Sn 0.500 0.500 0.500

## Properties
- SG = Fm-3m (225)

Across the entries above, E_tot takes the values -21.4, -43.9, -69.4, -20.3, -64.8, -30.7, -26.7, -60.7, -51.1, -86.9, -56.9, -20.6 eV/cell, respectively.
Across the entries above, D(E_F) takes the values 3.06, 1.05, 6.24, 2.68, 5.31, 0.69, 0.67, 1.07, 7.69, 0.39, 4.70, 3.67 states/eV/f.u., respectively.